DFT (PBE) results for an optimized crystal structure of BeZn2Ni.

Lattice parameters (Å, degrees): 8.270 8.270 8.270 18.16 18.16 18.16
Positions (direct):
1 Be 0.000 0.000 0.000
2 Zn 0.250 0.250 0.250
3 Zn 0.750 0.750 0.750
4 Ni 0.500 0.500 0.500

Computed properties:
* ρ: 6.87 Mg/m³
* density of states at the Fermi level: 2.551 states/eV/f.u.
* formation energy: 0.3 eV per formula unit